Density functional theory data (PBE-GGA) for an optimized crystal structure of InSe3N.

Cell and atoms, written as CIF:
```
data_InSe3N
_chemical_formula_sum 'In1 Se3 N1'
_cell_length_a 4.539
_cell_length_b 4.539
_cell_length_c 4.539
_cell_angle_alpha 90.00
_cell_angle_beta 90.00
_cell_angle_gamma 90.00
_space_group_name_H-M_alt 'P m -3 m'
_space_group_IT_number 221
_space_group_name_Hall '-P 4 2 3'
loop_
_atom_site_label
_atom_site_fract_x
_atom_site_fract_y
_atom_site_fract_z
In1 0.000 0.000 0.000
Se1 0.000 0.500 0.500
N1 0.500 0.500 0.500
```

Energy above the most stable polymorph in this dataset: 0 meV per atom
Raw formation energy: 706 meV per atom

---

Density functional theory data (PBE-GGA) for an optimized crystal structure of In2SeN.

Cell and atoms, written as CIF:
```
data_In2SeN
_chemical_formula_sum 'In8 Se4 N4'
_cell_length_a 6.727
_cell_length_b 6.727
_cell_length_c 6.727
_cell_angle_alpha 90.00
_cell_angle_beta 90.00
_cell_angle_gamma 90.00
_space_group_name_H-M_alt 'F m -3 m'
_space_group_IT_number 225
_space_group_name_Hall '-F 4 2 3'
loop_
_atom_site_label
_atom_site_fract_x
_atom_site_fract_y
_atom_site_fract_z
In1 0.250 0.250 0.250
Se1 0.000 0.000 0.000
N1 0.000 0.000 0.500
```

Energy above the most stable polymorph in this dataset: 842 meV per atom
Raw formation energy: 816 meV per atom

---

Density functional theory data (PBE-GGA) for an optimized crystal structure of In2SeN.

Cell and atoms, written as CIF:
```
data_In2SeN
_chemical_formula_sum 'In8 Se4 N4'
_cell_length_a 5.819
_cell_length_b 5.819
_cell_length_c 11.079
_cell_angle_alpha 90.00
_cell_angle_beta 90.00
_cell_angle_gamma 90.00
_space_group_name_H-M_alt 'I -4 2 d'
_space_group_IT_number 122
_space_group_name_Hall 'I -4 2bw'
loop_
_atom_site_label
_atom_site_fract_x
_atom_site_fract_y
_atom_site_fract_z
In1 0.169 0.250 0.125
Se1 0.000 0.000 0.500
N1 0.000 0.000 0.000
```

Energy above the most stable polymorph in this dataset: 0 meV per atom
Raw formation energy: -26 meV per atom

---

Density functional theory data (PBE-GGA) for an optimized crystal structure of InSe2N.

Cell and atoms, written as CIF:
```
data_InSe2N
_chemical_formula_sum 'In3 Se6 N3'
_cell_length_a 3.2332
_cell_length_b 3.2332
_cell_length_c 26.5519
_cell_angle_alpha 90.00
_cell_angle_beta 90.00
_cell_angle_gamma 120.00
_space_group_name_H-M_alt 'R -3 m'
_space_group_IT_number 166
_space_group_name_Hall '-R 3 2"'
loop_
_atom_site_label
_atom_site_fract_x
_atom_site_fract_y
_atom_site_fract_z
In1 0.0000 0.0000 0.0000
Se1 0.0000 0.0000 0.1133
N1 0.0000 0.0000 0.5000
```

Energy above the most stable polymorph in this dataset: 357 meV per atom
Raw formation energy: 955 meV per atom

---

Density functional theory data (PBE-GGA) for an optimized crystal structure of InSe2N.

Cell and atoms, written as CIF:
```
data_InSe2N
_chemical_formula_sum 'In4 Se8 N4'
_cell_length_a 7.228
_cell_length_b 7.228
_cell_length_c 7.065
_cell_angle_alpha 90.00
_cell_angle_beta 90.00
_cell_angle_gamma 90.00
_space_group_name_H-M_alt 'I 4/m c m'
_space_group_IT_number 140
_space_group_name_Hall '-I 4 2c'
loop_
_atom_site_label
_atom_site_fract_x
_atom_site_fract_y
_atom_site_fract_z
In1 0.000 0.500 0.250
Se1 0.193 0.307 0.000
N1 0.000 0.000 0.250
```

Energy above the most stable polymorph in this dataset: 536 meV per atom
Raw formation energy: 1135 meV per atom

---

Density functional theory data (PBE-GGA) for an optimized crystal structure of InSe2N.

Cell and atoms, written as CIF:
```
data_InSe2N
_chemical_formula_sum 'In3 Se6 N3'
_cell_length_a 4.5070
_cell_length_b 4.5070
_cell_length_c 19.5098
_cell_angle_alpha 90.00
_cell_angle_beta 90.00
_cell_angle_gamma 120.00
_space_group_name_H-M_alt 'R -3 m'
_space_group_IT_number 166
_space_group_name_Hall '-R 3 2"'
loop_
_atom_site_label
_atom_site_fract_x
_atom_site_fract_y
_atom_site_fract_z
In1 0.0000 0.0000 0.0000
Se1 0.0000 0.0000 0.4108
N1 0.0000 0.0000 0.5000
```

Energy above the most stable polymorph in this dataset: 0 meV per atom
Raw formation energy: 598 meV per atom

---

Density functional theory data (PBE-GGA) for an optimized crystal structure of In4Se3N2.

Cell and atoms, written as CIF:
```
data_In4Se3N2
_chemical_formula_sum 'In8 Se6 N4'
_cell_length_a 7.192
_cell_length_b 14.579
_cell_length_c 3.727
_cell_angle_alpha 90.00
_cell_angle_beta 90.00
_cell_angle_gamma 90.00
_space_group_name_H-M_alt 'P n n m'
_space_group_IT_number 58
loop_
_space_group_symop_operation_xyz
'x,y,z'
'-x,-y,-z'
'-x,-y,z'
'x,y,-z'
'x+1/2,-y+1/2,-z+1/2'
'-x+1/2,y+1/2,z+1/2'
'-x+1/2,y+1/2,-z+1/2'
'x+1/2,-y+1/2,z+1/2'
loop_
_atom_site_label
_atom_site_fract_x
_atom_site_fract_y
_atom_site_fract_z
In1 0.192 0.151 0.000
In2 0.198 0.938 0.500
Se1 0.000 0.500 0.500
Se2 0.181 0.789 0.000
N1 0.116 0.081 0.500
```

Raw formation energy: 7 meV per atom

---

Density functional theory data (PBE-GGA) for an optimized crystal structure of InSe2N.

Cell and atoms, written as CIF:
```
data_InSe2N
_chemical_formula_sum 'In4 Se8 N4'
_cell_length_a 5.539
_cell_length_b 5.539
_cell_length_c 11.892
_cell_angle_alpha 90.00
_cell_angle_beta 90.00
_cell_angle_gamma 90.00
_space_group_name_H-M_alt 'I -4 2 d'
_space_group_IT_number 122
_space_group_name_Hall 'I -4 2bw'
loop_
_atom_site_label
_atom_site_fract_x
_atom_site_fract_y
_atom_site_fract_z
In1 0.000 0.000 0.000
Se1 0.135 0.250 0.625
N1 0.000 0.000 0.500
```

Energy above the most stable polymorph in this dataset: 6 meV per atom
Raw formation energy: 604 meV per atom

---

Density functional theory data (PBE-GGA) for an optimized crystal structure of InSnSeN2.

Cell and atoms, written as CIF:
```
data_InSnSeN2
_chemical_formula_sum 'In1 Sn1 Se1 N2'
_cell_length_a 4.336
_cell_length_b 4.336
_cell_length_c 6.293
_cell_angle_alpha 90.00
_cell_angle_beta 90.00
_cell_angle_gamma 90.00
_space_group_name_H-M_alt 'P 4/m m m'
_space_group_IT_number 123
_space_group_name_Hall '-P 4 2'
loop_
_atom_site_label
_atom_site_fract_x
_atom_site_fract_y
_atom_site_fract_z
In1 0.000 0.000 0.000
Sn1 0.500 0.500 0.500
Se1 0.500 0.500 0.000
N1 0.000 0.500 0.500
```

Raw formation energy: 1085 meV per atom

---

Density functional theory data (PBE-GGA) for an optimized crystal structure of InSnSe2N.

Cell and atoms, written as CIF:
```
data_InSnSe2N
_chemical_formula_sum 'In1 Sn1 Se2 N1'
_cell_length_a 5.426
_cell_length_b 5.426
_cell_length_c 4.202
_cell_angle_alpha 90.00
_cell_angle_beta 90.00
_cell_angle_gamma 90.00
_space_group_name_H-M_alt 'P 4/m m m'
_space_group_IT_number 123
_space_group_name_Hall '-P 4 2'
loop_
_atom_site_label
_atom_site_fract_x
_atom_site_fract_y
_atom_site_fract_z
In1 0.000 0.000 0.000
Sn1 0.500 0.500 0.500
Se1 0.000 0.500 0.000
N1 0.000 0.000 0.500
```

Energy above the most stable polymorph in this dataset: 48 meV per atom
Raw formation energy: 550 meV per atom

---

Density functional theory data (PBE-GGA) for an optimized crystal structure of InSnSe2N.

Cell and atoms, written as CIF:
```
data_InSnSe2N
_chemical_formula_sum 'In1 Sn1 Se2 N1'
_cell_length_a 5.436
_cell_length_b 5.436
_cell_length_c 4.077
_cell_angle_alpha 90.00
_cell_angle_beta 90.00
_cell_angle_gamma 90.00
_space_group_name_H-M_alt 'P 4/m m m'
_space_group_IT_number 123
_space_group_name_Hall '-P 4 2'
loop_
_atom_site_label
_atom_site_fract_x
_atom_site_fract_y
_atom_site_fract_z
In1 0.000 0.000 0.000
Sn1 0.500 0.500 0.500
Se1 0.000 0.500 0.500
N1 0.500 0.500 0.000
```

Energy above the most stable polymorph in this dataset: 0 meV per atom
Raw formation energy: 502 meV per atom

---

Density functional theory data (PBE-GGA) for an optimized crystal structure of InTcSe2N.

Cell and atoms, written as CIF:
```
data_InTcSe2N
_chemical_formula_sum 'In1 Tc1 Se2 N1'
_cell_length_a 5.494
_cell_length_b 5.494
_cell_length_c 4.238
_cell_angle_alpha 90.00
_cell_angle_beta 90.00
_cell_angle_gamma 90.00
_space_group_name_H-M_alt 'P 4/m m m'
_space_group_IT_number 123
_space_group_name_Hall '-P 4 2'
loop_
_atom_site_label
_atom_site_fract_x
_atom_site_fract_y
_atom_site_fract_z
In1 0.000 0.000 0.000
Tc1 0.500 0.500 0.500
Se1 0.000 0.500 0.000
N1 0.000 0.000 0.500
```

Energy above the most stable polymorph in this dataset: 1271 meV per atom
Raw formation energy: 1376 meV per atom

---

Density functional theory data (PBE-GGA) for an optimized crystal structure of InTcSe2N.

Cell and atoms, written as CIF:
```
data_InTcSe2N
_chemical_formula_sum 'In1 Tc1 Se2 N1'
_cell_length_a 5.250
_cell_length_b 5.250
_cell_length_c 3.726
_cell_angle_alpha 90.00
_cell_angle_beta 90.00
_cell_angle_gamma 90.00
_space_group_name_H-M_alt 'P 4/m m m'
_space_group_IT_number 123
_space_group_name_Hall '-P 4 2'
loop_
_atom_site_label
_atom_site_fract_x
_atom_site_fract_y
_atom_site_fract_z
In1 0.000 0.000 0.000
Tc1 0.500 0.500 0.500
Se1 0.000 0.500 0.500
N1 0.500 0.500 0.000
```

Energy above the most stable polymorph in this dataset: 0 meV per atom
Raw formation energy: 105 meV per atom

---

Density functional theory data (PBE-GGA) for an optimized crystal structure of InTeSe2N.

Cell and atoms, written as CIF:
```
data_InTeSe2N
_chemical_formula_sum 'In1 Te1 Se2 N1'
_cell_length_a 5.426
_cell_length_b 5.426
_cell_length_c 4.131
_cell_angle_alpha 90.00
_cell_angle_beta 90.00
_cell_angle_gamma 90.00
_space_group_name_H-M_alt 'P 4/m m m'
_space_group_IT_number 123
_space_group_name_Hall '-P 4 2'
loop_
_atom_site_label
_atom_site_fract_x
_atom_site_fract_y
_atom_site_fract_z
In1 0.000 0.000 0.000
Te1 0.500 0.500 0.500
Se1 0.000 0.500 0.000
N1 0.000 0.000 0.500
```

Energy above the most stable polymorph in this dataset: 153 meV per atom
Raw formation energy: 827 meV per atom